A plane-wave DFT calculation with GGA-PBE was carried out for ZnRe3Bi after structural relaxation. Values from VASP.

Its space-group type is Pm-3m (221). The formation energy is 3.1819 eV/atom. As for the polymorph energy (0 for the lowest one): 1171 meV/atom.

The structure in Quantum ESPRESSO input format:
```
&SYSTEM
  ibrav = 0, nat = 5, ntyp = 3
/
ATOMIC_SPECIES
Bi 208.98 Bi.upf
Re 186.21 Re.upf
Zn 65.41 Zn.upf
ATOMIC_POSITIONS angstrom
Bi 0.000 0.000 0.000
Re 1.243 -1.789 1.218
Re -1.790 -0.060 1.738
Re -1.216 -1.739 -1.313
Zn -1.763 -3.588 1.643
CELL_PARAMETERS angstrom
-2.433 -3.478 -2.626
2.486 -3.578 2.436
-3.580 -0.120 3.476
```

A plane-wave DFT calculation with GGA-PBE was carried out for Zr2ReBi after structural relaxation. Values from VASP.

Its space-group type is I-42d (122). The formation energy is 0.3746 eV/atom.

The structure in Quantum ESPRESSO input format:
```
&SYSTEM
  ibrav = 0, nat = 8, ntyp = 3
/
ATOMIC_SPECIES
Zr 91.22 Zr.upf
Bi 208.98 Bi.upf
Re 186.21 Re.upf
ATOMIC_POSITIONS angstrom
Zr 9.774 9.386 2.282
Zr 5.865 6.252 2.282
Zr 5.477 1.955 0.761
Zr 2.343 5.865 0.761
Bi 0.000 0.000 0.000
Bi 7.819 3.910 1.522
Re 3.910 3.910 0.000
Re 3.910 7.819 1.522
CELL_PARAMETERS angstrom
7.819 0.000 0.000
0.000 7.819 0.000
3.910 3.910 3.043
```

A plane-wave DFT calculation with GGA-PBE was carried out for Zr8ReBi2 after structural relaxation. Values from VASP.

Its space-group type is C2/m (12). The formation energy is -0.0833 eV/atom.

The structure in Quantum ESPRESSO input format:
```
&SYSTEM
  ibrav = 0, nat = 11, ntyp = 3
/
ATOMIC_SPECIES
Bi 208.98 Bi.upf
Zr 91.22 Zr.upf
Re 186.21 Re.upf
ATOMIC_POSITIONS angstrom
Bi -0.986 -5.648 2.330
Bi -1.025 -3.833 -2.690
Zr -1.459 -2.616 1.993
Zr -2.379 -5.383 -0.294
Zr -0.552 -6.865 -2.353
Zr 0.368 -4.098 -0.066
Zr -1.917 -1.264 -3.918
Zr 0.958 -7.363 0.452
Zr -0.095 -8.217 3.558
Zr -2.969 -2.118 -0.811
Re -2.150 -0.211 1.120
CELL_PARAMETERS angstrom
-4.300 -0.422 2.240
-2.624 -1.141 -5.252
4.913 -7.918 2.652
```

A plane-wave DFT calculation with GGA-PBE was carried out for ZrRe3Bi after structural relaxation. Values from VASP.

Its space-group type is Pm-3m (221). The formation energy is 2.5856 eV/atom. As for the polymorph energy (0 for the lowest one): 212 meV/atom.

The structure in Quantum ESPRESSO input format:
```
&SYSTEM
  ibrav = 0, nat = 5, ntyp = 3
/
ATOMIC_SPECIES
Zr 91.22 Zr.upf
Re 186.21 Re.upf
Bi 208.98 Bi.upf
ATOMIC_POSITIONS angstrom
Zr -1.083 -3.073 2.722
Re 0.278 -2.403 -0.395
Re -2.262 -0.402 0.853
Re 0.901 -0.268 2.264
Bi 0.000 0.000 0.000
CELL_PARAMETERS angstrom
-4.525 -0.804 1.706
0.556 -4.806 -0.790
1.803 -0.536 4.527
```

A plane-wave DFT calculation with GGA-PBE was carried out for ZrRe2Bi after structural relaxation. Values from VASP.

Its space-group type is I-42d (122). The formation energy is 0.7851 eV/atom.

The structure in Quantum ESPRESSO input format:
```
&SYSTEM
  ibrav = 0, nat = 8, ntyp = 3
/
ATOMIC_SPECIES
Bi 208.98 Bi.upf
Zr 91.22 Zr.upf
Re 186.21 Re.upf
ATOMIC_POSITIONS angstrom
Bi 0.000 0.000 0.000
Bi 4.095 2.048 5.175
Zr 2.048 4.095 5.175
Zr 2.048 2.048 0.000
Re 1.354 3.072 2.588
Re 2.741 1.024 2.588
Re 5.119 4.789 7.763
Re 3.072 3.402 7.763
CELL_PARAMETERS angstrom
4.095 0.000 0.000
0.000 4.095 0.000
2.048 2.048 10.350
```

A plane-wave DFT calculation with GGA-PBE was carried out for ZrRe3Bi after structural relaxation. Values from VASP.

Its space-group type is Pm-3m (221). The formation energy is 2.3738 eV/atom. As for the polymorph energy (0 for the lowest one): 0 meV/atom.

The structure in Quantum ESPRESSO input format:
```
&SYSTEM
  ibrav = 0, nat = 5, ntyp = 3
/
ATOMIC_SPECIES
Re 186.21 Re.upf
Bi 208.98 Bi.upf
Zr 91.22 Zr.upf
ATOMIC_POSITIONS angstrom
Re -0.181 -2.428 0.260
Re 1.100 0.152 2.182
Re -2.179 0.278 1.080
Bi -1.260 -1.997 3.522
Zr 0.000 0.000 0.000
CELL_PARAMETERS angstrom
-4.359 0.557 2.160
-0.362 -4.855 0.520
2.201 0.303 4.363
```

A plane-wave DFT calculation with GGA-PBE was carried out for Zr12ReBi6 after structural relaxation. Values from VASP.

Its space-group type is R-3 (148). The formation energy is 0.0207 eV/atom.

The structure in Quantum ESPRESSO input format:
```
&SYSTEM
  ibrav = 0, nat = 19, ntyp = 3
/
ATOMIC_SPECIES
Bi 208.98 Bi.upf
Zr 91.22 Zr.upf
Re 186.21 Re.upf
ATOMIC_POSITIONS angstrom
Bi -1.211 -3.791 3.630
Bi 3.375 0.189 4.193
Bi 1.749 -7.067 2.670
Bi 6.336 -3.088 3.233
Bi 1.584 -2.823 7.046
Bi 3.541 -4.055 -0.183
Zr -1.164 -1.190 1.951
Zr 1.078 -4.039 1.763
Zr 3.134 -7.557 5.395
Zr 1.124 -1.734 4.039
Zr 6.288 -5.688 4.912
Zr 4.000 -5.144 2.824
Zr 3.583 -1.992 1.945
Zr 1.542 -4.886 4.918
Zr 3.962 -4.721 7.619
Zr 4.046 -2.839 5.100
Zr 1.990 0.678 1.468
Zr 1.162 -2.158 -0.756
Re 0.000 0.000 0.000
CELL_PARAMETERS angstrom
-4.236 -2.548 6.470
2.550 -7.071 -3.130
6.810 2.741 3.523
```

A plane-wave DFT calculation with GGA-PBE was carried out for ZrReBi2 after structural relaxation. Values from VASP.

Its space-group type is Fm-3m (225). The formation energy is 0.5087 eV/atom.

The structure in Quantum ESPRESSO input format:
```
&SYSTEM
  ibrav = 0, nat = 4, ntyp = 3
/
ATOMIC_SPECIES
Bi 208.98 Bi.upf
Re 186.21 Re.upf
Zr 91.22 Zr.upf
ATOMIC_POSITIONS angstrom
Bi -8.869 2.029 -1.073
Bi -2.956 0.676 -0.358
Re -5.913 1.353 -0.716
Zr 0.000 0.000 0.000
CELL_PARAMETERS angstrom
-4.625 -1.863 -0.055
-3.799 2.708 1.761
-3.400 1.861 -3.137
```

A plane-wave DFT calculation with GGA-PBE was carried out for Bi6Rh5 after structural relaxation. Values from VASP.

Its space-group type is C2/m (12). The formation energy is -0.0151 eV/atom.

The structure in Quantum ESPRESSO input format:
```
&SYSTEM
  ibrav = 0, nat = 11, ntyp = 2
/
ATOMIC_SPECIES
Bi 208.98 Bi.upf
Rh 102.91 Rh.upf
ATOMIC_POSITIONS angstrom
Bi -6.385 4.134 4.521
Bi -3.773 2.261 3.541
Bi -1.941 2.586 7.573
Bi -0.727 1.129 2.080
Bi -5.396 1.529 6.708
Bi -2.784 -0.344 5.729
Rh -5.673 3.538 1.915
Rh -1.334 1.857 4.826
Rh -3.849 3.775 5.815
Rh -5.320 0.014 4.434
Rh -3.355 1.529 0.906
CELL_PARAMETERS angstrom
-2.528 4.993 2.224
-6.501 0.075 0.597
-0.140 -1.278 7.428
```

A plane-wave DFT calculation with GGA-PBE was carried out for Bi4Rh after structural relaxation. Values from VASP.

Its space-group type is Pm-3m (221). The formation energy is 0.2464 eV/atom. As for the polymorph energy (0 for the lowest one): 389 meV/atom.

The structure in Quantum ESPRESSO input format:
```
&SYSTEM
  ibrav = 0, nat = 5, ntyp = 2
/
ATOMIC_SPECIES
Bi 208.98 Bi.upf
Rh 102.91 Rh.upf
ATOMIC_POSITIONS angstrom
Bi 0.000 2.679 2.679
Bi 2.679 2.679 0.000
Bi 2.679 0.000 2.679
Bi 0.000 0.000 0.000
Rh 2.679 2.679 2.679
CELL_PARAMETERS angstrom
5.359 0.000 0.000
0.000 5.359 0.000
0.000 0.000 5.359
```

A plane-wave DFT calculation with GGA-PBE was carried out for Bi4Rh after structural relaxation. Values from VASP.

Its space-group type is Ia-3d (230). The formation energy is -0.1428 eV/atom. As for the polymorph energy (0 for the lowest one): 0 meV/atom.

The structure in Quantum ESPRESSO input format:
```
&SYSTEM
  ibrav = 0, nat = 60, ntyp = 2
/
ATOMIC_SPECIES
Bi 208.98 Bi.upf
Rh 102.91 Rh.upf
ATOMIC_POSITIONS angstrom
Bi -1.569 -0.047 -1.988
Bi -0.591 -8.499 -2.449
Bi -10.546 4.268 -2.368
Bi 0.380 -4.766 -2.452
Bi -8.387 -2.572 -4.954
Bi -3.946 -1.746 -10.467
Bi -2.545 -5.637 -4.345
Bi -9.160 -6.092 3.258
Bi -1.048 -6.373 -7.092
Bi -7.869 2.619 -1.706
Bi -6.438 -7.291 -5.418
Bi -4.265 1.586 -2.613
Bi -6.959 -0.964 -0.314
Bi -3.100 -3.238 -1.376
Bi -6.018 -7.368 1.232
Bi -7.416 1.161 -4.957
Bi -9.696 -0.785 -2.530
Bi -3.434 -4.874 -8.778
Bi 2.539 -11.605 -5.038
Bi 2.464 -3.864 -6.456
Bi -3.742 -8.923 -4.793
Bi -5.762 -4.893 -2.353
Bi -5.462 -1.700 -3.061
Bi -2.245 -2.445 -5.053
Bi -3.827 -9.813 1.287
Bi -10.471 -3.474 -0.950
Bi -6.676 3.870 -6.519
Bi -9.124 -5.259 -3.353
Bi -6.244 -1.600 -8.126
Bi -6.155 0.683 -10.485
Bi -4.907 -4.100 -6.029
Bi -3.703 -7.550 -1.089
Bi -4.573 -2.463 1.372
Bi 1.689 -6.552 -4.876
Bi 1.117 -2.078 -4.052
Bi -1.331 -11.208 -0.887
Bi -0.138 -9.956 -5.700
Bi -0.787 -3.183 -7.820
Bi -11.833 -4.422 2.635
Bi -4.304 0.213 -6.316
Bi 1.153 -1.245 -10.664
Bi -4.061 -5.591 3.061
Bi -1.763 -5.738 0.721
Bi -7.220 -4.155 0.415
Bi 3.826 -2.916 -10.040
Bi -1.852 -8.020 3.079
Bi -1.989 0.030 -8.638
Bi -4.180 2.475 -8.692
Rh -3.482 -2.213 -7.653
Rh -7.885 -2.975 -2.137
Rh 0.469 -11.102 -3.118
Rh -6.596 1.237 -7.705
Rh -4.525 -5.124 0.248
Rh -1.411 -8.574 0.299
Rh -8.476 3.765 -4.288
Rh -0.122 -4.362 -5.268
Rh -4.128 -0.607 -0.769
Rh -3.331 1.004 -11.004
Rh -4.676 -8.341 3.599
Rh -3.879 -6.730 -6.637
CELL_PARAMETERS angstrom
-10.973 6.753 -2.605
6.037 -3.066 -11.267
-3.071 -11.025 6.466
```

A plane-wave DFT calculation with GGA-PBE was carried out for Bi3Rh after structural relaxation. Values from VASP.

Its space-group type is Cmcm (63). The formation energy is -0.1066 eV/atom. As for the polymorph energy (0 for the lowest one): 46 meV/atom.

The structure in Quantum ESPRESSO input format:
```
&SYSTEM
  ibrav = 0, nat = 8, ntyp = 2
/
ATOMIC_SPECIES
Bi 208.98 Bi.upf
Rh 102.91 Rh.upf
ATOMIC_POSITIONS angstrom
Bi 2.487 -3.953 7.047
Bi 1.348 -0.890 4.943
Bi -0.077 -3.961 4.765
Bi 1.967 -0.262 8.145
Bi -1.216 -0.898 2.662
Bi -0.696 -4.589 1.564
Rh 0.159 -2.382 7.188
Rh 1.112 -2.469 2.520
CELL_PARAMETERS angstrom
-3.693 -0.778 0.867
3.346 -5.715 0.475
1.618 1.642 8.367
```

Please write out number 12 again, unchanged.
A plane-wave DFT calculation with GGA-PBE was carried out for Bi3Rh after structural relaxation. Values from VASP.

Its space-group type is Cmcm (63). The formation energy is -0.1066 eV/atom. As for the polymorph energy (0 for the lowest one): 46 meV/atom.

The structure in Quantum ESPRESSO input format:
```
&SYSTEM
  ibrav = 0, nat = 8, ntyp = 2
/
ATOMIC_SPECIES
Bi 208.98 Bi.upf
Rh 102.91 Rh.upf
ATOMIC_POSITIONS angstrom
Bi 2.487 -3.953 7.047
Bi 1.348 -0.890 4.943
Bi -0.077 -3.961 4.765
Bi 1.967 -0.262 8.145
Bi -1.216 -0.898 2.662
Bi -0.696 -4.589 1.564
Rh 0.159 -2.382 7.188
Rh 1.112 -2.469 2.520
CELL_PARAMETERS angstrom
-3.693 -0.778 0.867
3.346 -5.715 0.475
1.618 1.642 8.367
```

Number 10 is which compound?
Bi4Rh

Repeat the third record exactly.
A plane-wave DFT calculation with GGA-PBE was carried out for Zr8ReBi2 after structural relaxation. Values from VASP.

Its space-group type is C2/m (12). The formation energy is -0.0833 eV/atom.

The structure in Quantum ESPRESSO input format:
```
&SYSTEM
  ibrav = 0, nat = 11, ntyp = 3
/
ATOMIC_SPECIES
Bi 208.98 Bi.upf
Zr 91.22 Zr.upf
Re 186.21 Re.upf
ATOMIC_POSITIONS angstrom
Bi -0.986 -5.648 2.330
Bi -1.025 -3.833 -2.690
Zr -1.459 -2.616 1.993
Zr -2.379 -5.383 -0.294
Zr -0.552 -6.865 -2.353
Zr 0.368 -4.098 -0.066
Zr -1.917 -1.264 -3.918
Zr 0.958 -7.363 0.452
Zr -0.095 -8.217 3.558
Zr -2.969 -2.118 -0.811
Re -2.150 -0.211 1.120
CELL_PARAMETERS angstrom
-4.300 -0.422 2.240
-2.624 -1.141 -5.252
4.913 -7.918 2.652
```